# 1
# LaTiAl3

LaTiAl3 after structural relaxation (PBE, Alexandria via LeMat-Bulk).

## Properties
- symmetry = Pm-3m, No. 221
- Fermi-level density of states (states/eV per cell) = 7.2
- E_tot (eV per cell) = -16.3
- magnetization (μB per atom) = 0.0001
- energy of formation (kJ per mole of atoms) = 149
- energy above the most stable polymorph in this dataset (meV/atom) = 1507

abc: 5.357 5.357 5.357
angles: 90.00 90.00 90.00
Fractional positions:
La  0.000  0.000  0.000
Ti  0.500  0.500  0.500
Al  0.000  0.000  0.500
Al  0.000  0.500  0.000
Al  0.500  0.000  0.000

***

# 2
# LaTi2Al

LaTi2Al after structural relaxation (PBE, Alexandria via LeMat-Bulk).

## Properties
- symmetry = I-42d, No. 122
- Fermi-level density of states (states/eV per cell) = 6.9
- E_tot (eV per cell) = -46.1
- magnetization (μB per atom) = 0.4549
- energy of formation (kJ per mole of atoms) = 34

abc: 10.312 10.312 10.312
angles: 156.05 156.05 34.13
Fractional positions:
La  0.000  0.000  0.000
La  0.750  0.250  0.500
Ti  0.154  0.625  0.029
Ti  0.375  0.404  0.529
Ti  0.596  0.125  0.971
Ti  0.875  0.846  0.471
Al  0.250  0.750  0.500
Al  0.500  0.500  0.000

***

# 3
# LaTiAl4

LaTiAl4 after structural relaxation (PBE, Alexandria via LeMat-Bulk).

## Properties
- symmetry = F-43m, No. 216
- Fermi-level density of states (states/eV per cell) = 4.2
- E_tot (eV per cell) = -29.5
- magnetization (μB per atom) = 0.0031
- energy of formation (kJ per mole of atoms) = -28

abc: 5.493 5.493 5.493
angles: 60.00 60.00 60.00
Fractional positions:
La  0.000  0.000  0.000
Ti  0.750  0.750  0.750
Al  0.375  0.375  0.375
Al  0.375  0.375  0.874
Al  0.375  0.874  0.375
Al  0.874  0.375  0.375

***

# 4
# LaTi2Al20

LaTi2Al20 after structural relaxation (PBE, Alexandria via LeMat-Bulk).

## Properties
- symmetry = Fd-3m, No. 227
- Fermi-level density of states (states/eV per cell) = 15.1
- E_tot (eV per cell) = -202.6
- magnetization (μB per atom) = 0.0000
- energy of formation (kJ per mole of atoms) = -24

abc: 10.426 10.426 10.426
angles: 60.00 60.00 60.00
Fractional positions:
La  0.125  0.125  0.125
La  0.875  0.875  0.875
Ti  0.000  0.500  0.500
Ti  0.500  0.000  0.500
Ti  0.500  0.500  0.000
Ti  0.500  0.500  0.500
Al  0.000  0.000  0.000
Al  0.000  0.000  0.500
Al  0.000  0.500  0.000
Al  0.057  0.325  0.325
Al  0.057  0.325  0.793
Al  0.057  0.793  0.325
Al  0.207  0.675  0.675
Al  0.207  0.675  0.943
Al  0.207  0.943  0.675
Al  0.237  0.237  0.513
Al  0.237  0.513  0.237
Al  0.237  0.513  0.513
Al  0.325  0.057  0.325
Al  0.325  0.057  0.793
Al  0.325  0.325  0.057
Al  0.325  0.325  0.793
Al  0.325  0.793  0.057
Al  0.325  0.793  0.325
Al  0.487  0.487  0.763
Al  0.487  0.763  0.487
Al  0.487  0.763  0.763
Al  0.500  0.000  0.000
Al  0.513  0.237  0.237
Al  0.513  0.237  0.513
Al  0.513  0.513  0.237
Al  0.675  0.207  0.675
Al  0.675  0.207  0.943
Al  0.675  0.675  0.207
Al  0.675  0.675  0.943
Al  0.675  0.943  0.207
Al  0.675  0.943  0.675
Al  0.763  0.487  0.487
Al  0.763  0.487  0.763
Al  0.763  0.763  0.487
Al  0.793  0.057  0.325
Al  0.793  0.325  0.057
Al  0.793  0.325  0.325
Al  0.943  0.207  0.675
Al  0.943  0.675  0.207
Al  0.943  0.675  0.675

***

# 5
# La3TiAl

La3TiAl after structural relaxation (PBE, Alexandria via LeMat-Bulk).

## Properties
- symmetry = Pm-3m, No. 221
- Fermi-level density of states (states/eV per cell) = 5.5
- E_tot (eV per cell) = -24.3
- magnetization (μB per atom) = 0.0000
- energy of formation (kJ per mole of atoms) = 40

abc: 5.464 5.464 5.464
angles: 90.00 90.00 90.00
Fractional positions:
La  0.000  0.000  0.500
La  0.000  0.500  0.000
La  0.500  0.000  0.000
Ti  0.000  0.000  0.000
Al  0.500  0.500  0.500

***

# 6
# LaTi2Al2

LaTi2Al2 after structural relaxation (PBE, Alexandria via LeMat-Bulk).

## Properties
- symmetry = P4/mbm, No. 127
- Fermi-level density of states (states/eV per cell) = 10.6
- E_tot (eV per cell) = -58.5
- magnetization (μB per atom) = 0.0000
- energy of formation (kJ per mole of atoms) = -21
- energy above the most stable polymorph in this dataset (meV/atom) = 0

abc: 8.255 8.255 2.928
angles: 90.00 90.00 90.00
Fractional positions:
La  0.000  0.000  0.000
La  0.500  0.500  0.000
Ti  0.117  0.383  0.000
Ti  0.383  0.883  0.000
Ti  0.617  0.117  0.000
Ti  0.883  0.617  0.000
Al  0.173  0.673  0.500
Al  0.327  0.173  0.500
Al  0.673  0.827  0.500
Al  0.827  0.327  0.500